Record 1
{"formula": "TlRe2Ru", "functional": "PBE", "state": "optimized geometry", "lattice_angstrom": [[0.000, 3.207, 3.207], [3.207, 0.000, 3.207], [3.207, 3.207, 0.000]], "species": ["Tl", "Re", "Re", "Ru"], "frac_coords": [[0.000, 0.000, 0.000], [0.250, 0.250, 0.250], [0.750, 0.750, 0.750], [0.500, 0.500, 0.500]], "polymorph_energy_mev_per_atom": 599.4, "e_form_mev_per_atom": 1064, "total_energy_ev_per_cell": -32.284, "magmom_total_mub_per_atom": 0.44, "spacegroup": "Fm-3m"}

Record 2
{"formula": "TlRe2Ru", "functional": "PBE", "state": "optimized geometry", "lattice_angstrom": [[4.608, -1.454, 0.000], [4.608, 1.454, 0.000], [-0.953, 0.000, 4.978]], "species": ["Tl", "Re", "Re", "Ru"], "frac_coords": [[0.000, 0.000, 0.000], [0.233, 0.233, 0.674], [0.492, 0.492, 0.507], [0.761, 0.761, 0.252]], "polymorph_energy_mev_per_atom": 195.0, "e_form_mev_per_atom": 659, "total_energy_ev_per_cell": -33.902, "magmom_total_mub_per_atom": 0.00, "spacegroup": "Cm"}